## one
Material: CePmPt
Method: DFT, PBE
State: optimized geometry

The structure in extended XYZ format:
```
6
Lattice="-3.312 -1.740 -2.613 -2.228 -0.677 3.272 -3.353 7.671 -0.855" Properties=species:S:1:pos:R:3 pbc="T T T"
Pt -5.349 -0.439 0.588
Pt -3.944 4.081 -0.217
Pm -6.500 2.256 0.253
Pm -2.793 1.386 0.118
Ce -6.807 5.611 -1.590
Ce -5.839 5.703 1.107
```

* Fermi-level density of states: 5.2 states/eV/f.u.
* crystal system: monoclinic
* spin magnetization: 0.000 μB per atom
* density: 10.34 g cm⁻³

***

## two
Material: CePmPt
Method: DFT, PBE
State: optimized geometry

The structure in extended XYZ format:
```
6
Lattice="5.223 0.000 0.063 0.000 5.273 0.003 -0.065 -2.634 5.409" Properties=species:S:1:pos:R:3 pbc="T T T"
Pt 3.885 2.638 2.751
Pt 1.273 0.001 2.723
Pm 1.253 2.640 4.341
Pm 3.904 -0.001 1.134
Ce 3.865 0.004 4.360
Ce 1.292 2.635 1.115
```

* Fermi-level density of states: 4.6 states/eV/f.u.
* crystal system: orthorhombic
* spin magnetization: 0.136 μB per atom
* density: 10.70 g cm⁻³

***

Short version: one is the most stable of them.

***

## one
Material: CePmRuPt
Method: DFT, PBE
State: optimized geometry

The structure in extended XYZ format:
```
4
Lattice="-1.691 -3.467 -0.475 2.252 -0.643 -3.325 4.928 -0.701 3.473" Properties=species:S:1:pos:R:3 pbc="T T T"
Pt 0.962 -2.462 -1.359
Ru 3.292 -1.963 2.609
Ce 3.276 -3.841 0.475
Pm 1.195 -0.713 0.947
```

* Fermi-level density of states: 3.4 states/eV/f.u.
* crystal system: orthorhombic
* spin magnetization: 0.000 μB per atom
* density: 10.62 g cm⁻³

***

## two
Material: CePmRuPt
Method: DFT, PBE
State: optimized geometry

The structure in extended XYZ format:
```
4
Lattice="4.984 0.000 0.000 2.492 4.316 0.000 2.492 1.439 4.070" Properties=species:S:1:pos:R:3 pbc="T T T"
Pt 7.476 4.316 3.052
Ce 4.984 2.878 2.035
Pm 0.000 0.000 0.000
Ru 2.492 1.439 1.017
```

* Fermi-level density of states: 4.5 states/eV/f.u.
* crystal system: cubic
* spin magnetization: 0.096 μB per atom
* density: 11.02 g cm⁻³

***

Short version: one is the most stable of them.

***

## one
Material: Ce2PmPu
Method: DFT, PBE
State: optimized geometry

The structure in extended XYZ format:
```
4
Lattice="3.395 0.000 0.000 0.000 3.395 0.000 0.000 0.000 9.769" Properties=species:S:1:pos:R:3 pbc="T T T"
Ce 0.000 0.000 2.185
Ce 0.000 0.000 7.584
Pu 1.697 1.697 0.000
Pm 1.697 1.697 4.884
```

* Fermi-level density of states: 11.1 states/eV/f.u.
* crystal system: tetragonal
* spin magnetization: 1.179 μB per atom
* density: 9.87 g cm⁻³

***

## two
Material: Ce2PmPu
Method: DFT, PBE
State: optimized geometry

The structure in extended XYZ format:
```
4
Lattice="4.763 0.000 0.000 0.000 4.885 0.000 0.000 0.000 4.885" Properties=species:S:1:pos:R:3 pbc="T T T"
Pu 2.382 2.442 2.442
Pm 2.382 0.000 0.000
Ce 0.000 2.442 0.000
Ce 0.000 0.000 2.442
```

* Fermi-level density of states: 10.9 states/eV/f.u.
* crystal system: tetragonal
* spin magnetization: 1.677 μB per atom
* density: 9.78 g cm⁻³

***

## three
Material: Ce2PmPu
Method: DFT, PBE
State: optimized geometry

The structure in extended XYZ format:
```
4
Lattice="3.578 0.000 0.000 1.789 3.099 0.000 1.789 1.033 10.014" Properties=species:S:1:pos:R:3 pbc="T T T"
Pu 3.578 2.066 5.007
Ce 1.789 1.033 6.586
Ce 5.368 3.099 3.428
Pm 0.000 0.000 0.000
```

* Fermi-level density of states: 10.1 states/eV/f.u.
* crystal system: trigonal
* spin magnetization: 0.368 μB per atom
* density: 10.01 g cm⁻³

***

Short version: one is the most stable of them.